RbCd8Au4: optimized geometry, PBE.

Results
The total magnetization is 0.000 μB per formula unit. Its crystal system is tetragonal. Its energy of formation is -144 meV per atom.

Structure (CIF):
```
data_RbCd8Au4
_chemical_formula_sum 'Rb2 Cd16 Au8'
_space_group_name_H-M_alt 'I 4/m m m'
_space_group_IT_number 139
_space_group_name_Hall '-I 4 2'
_cell_length_a 10.247
_cell_length_b 10.247
_cell_length_c 5.612
_cell_angle_alpha 90.00
_cell_angle_beta 90.00
_cell_angle_gamma 90.00
loop_
_atom_site_label
_atom_site_type_symbol
_atom_site_fract_x
_atom_site_fract_y
_atom_site_fract_z
_atom_site_occupancy
Rb1 Rb 0.000 0.000 0.000 1
Cd1 Cd 0.000 0.223 0.500 1
Cd2 Cd 0.000 0.354 0.000 1
Au1 Au 0.250 0.250 0.250 1
```